First-principles (PBE-GGA) data for crystalline Cr2CdSi at its relaxed geometry, as listed in Alexandria.

a = 8.7263 Å, b = 8.7263 Å, c = 8.7263 Å
α = 18.76°, β = 18.76°, γ = 18.76°
Each line ends with the local moment (μB).
Sites, in units of the cell vectors:
Cr1 0.2550 0.2550 0.2550  -0.56
Cr2 0.9851 0.9851 0.9851  0.89
Cd1 0.7466 0.7466 0.7466  0.00
Si1 0.5132 0.5132 0.5132  0.02

Results
uncorrected energy: -6.06 eV/atom
magnetization: 0.41 μB/cell
ρ: 6763 kg/m³
raw formation energy: 0.338 eV/atom